Entry from the Alexandria database: crystalline ZrTc3I at its relaxed geometry (PBE-GGA).

Unit cell a=4.983 b=4.983 c=4.983 alpha=90.00 beta=90.00 gamma=90.00
Space group Pm-3m (No. 221)
Symmetry-distinct sites (fractional):
Zr  0.000  0.000  0.000 (multiplicity 1)
Tc  0.000  0.000  0.500 (multiplicity 3)
I  0.500  0.500  0.500 (multiplicity 1)

Values from the calculation:
VASP energy   -6.2339 eV/atom
Crystal system   cubic
ΔE to the lowest computed polymorph   2.149 eV per formula unit
Formation energy (no corrections)   2005 meV per atom